11
Lattice="4.294 0.000 0.000 0.000 6.107 -3.526 0.000 -0.003 7.050" Properties=species:S:1:pos:R:3 comment="Ag2MoF8, relaxed, DFT PBE with a Hubbard U" final_energy_ev_per_cell=-47.3 pbc="T T T"
F 3.257 1.623 0.007
F 3.201 2.034 3.526
F 3.257 5.299 2.117
F 1.038 0.814 5.648
Mo 0.000 -0.003 7.050
F 1.037 4.482 3.518
F 1.037 0.806 1.408
F 1.094 4.070 -0.002
F 3.257 5.291 -2.124
Ag 3.241 4.071 -0.001
Ag 1.054 2.034 3.526